# 1
The following is a DFT calculation (PBE) of a geometry-optimized LiReGe2 structure.

a = 3.225 Å, b = 3.225 Å, c = 5.681 Å
α = 90.00°, β = 90.00°, γ = 90.00°
Fractional positions:
Re (0.500, 0.500, 0.000)
Ge (0.000, 0.000, 0.754)
Ge (0.000, 0.000, 0.246)
Li (0.500, 0.500, 0.500)

Properties
**Formation enthalpy at 0 K**: 0.004 eV per atom
**Polymorph energy (0 for the lowest one)**: 22 meV/atom
**E_tot**: -0.217 hartree per atom
**Symmetry**: P4/mmm (123)
**Crystal system**: tetragonal


# 2
The following is a DFT calculation (PBE) of a geometry-optimized LiReGe2 structure.

a = 3.047 Å, b = 3.047 Å, c = 8.408 Å
α = 79.56°, β = 79.56°, γ = 60.00°
Fractional positions:
Li (0.502, 0.502, 0.494)
Re (0.666, 0.666, 0.003)
Ge (0.077, 0.077, 0.769)
Ge (0.255, 0.255, 0.234)

Properties
**Formation enthalpy at 0 K**: -0.018 eV per atom
**Polymorph energy (0 for the lowest one)**: 0 meV/atom
**E_tot**: -0.217 hartree per atom
**Symmetry**: R3m (160)
**Crystal system**: trigonal